Na3ScMo3O8: optimized geometry, GGA+U.

The calculation puts the density of states at the Fermi level at 0.0404 states/eV/atom. Its raw total energy is -6.717 eV per atom. As for the calculated volume: 13.14 A^3/atom.

The space group is C2/m (No. 12) and the conventional cell measures 11.103, 6.432 and 6.650 Å, with angles of 90.00, 123.90 and 90.00 degrees. Symmetry generates all atoms from Na at (0.000, 0.000, 0.000), Na at (0.250, 0.250, 0.000), Sc at (0.000, 0.000, 0.500), Mo at (0.000, 0.500, 0.500), Mo at (0.250, 0.250, 0.500), O at (0.018, 0.246, 0.306), O at (0.231, 0.000, 0.693) and O at (0.237, 0.500, 0.709).